1.
A plane-wave DFT calculation with PBE was carried out for a relaxed CoNiSe2 crystal.

Cell: 4.3051 4.3051 4.3051 Å, 60.00 60.00 60.00°
Fractional positions:
Ni1 0.5000 0.5000 0.5000
Se1 0.7500 0.7500 0.7500
Se2 0.2500 0.2500 0.2500
Co1 0.0000 0.0000 0.0000

Calculated values
* ΔE to the lowest computed polymorph: 0.4407 eV per atom
* M_tot: 0.20 μB per formula unit
* formation energy (no corrections): 0.186 eV/atom



2.
A plane-wave DFT calculation with PBE was carried out for a relaxed Co2NiSe6 crystal.

Cell: 5.5217 5.5217 11.0890 Å, 90.00 90.00 90.00°
Fractional positions:
Co1 0.5000 0.5000 0.6666
Co2 0.5000 0.5000 0.3334
Co3 0.0000 0.0000 0.1666
Co4 0.0000 0.0000 0.8334
Ni1 0.0000 0.0000 0.5000
Ni2 0.5000 0.5000 0.0000
Se1 0.3088 0.3088 0.5000
Se2 0.8060 0.1940 0.6688
Se3 0.6940 0.6940 0.1688
Se4 0.6912 0.6912 0.5000
Se5 0.8060 0.1940 0.3312
Se6 0.8088 0.1912 0.0000
Se7 0.1912 0.8088 0.0000
Se8 0.1940 0.8060 0.3312
Se9 0.1940 0.8060 0.6688
Se10 0.6940 0.6940 0.8312
Se11 0.3060 0.3060 0.1688
Se12 0.3060 0.3060 0.8312

Calculated values
* ΔE to the lowest computed polymorph: 0.1995 eV per atom
* M_tot: 2.66 μB per formula unit
* formation energy (no corrections): -0.079 eV/atom



3.
A plane-wave DFT calculation with PBE was carried out for a relaxed TaCoNi2Se crystal.

Cell: 4.3240 4.3240 4.4711 Å, 90.00 90.00 90.00°
Fractional positions:
Se1 0.5000 0.5000 0.5000
Ni1 0.5000 0.0000 0.0000
Ni2 0.0000 0.5000 0.0000
Co1 0.0000 0.0000 0.0000
Ta1 0.0000 0.0000 0.5000

Calculated values
* M_tot: 1.49 μB per formula unit
* formation energy (no corrections): 0.841 eV/atom



4.
A plane-wave DFT calculation with PBE was carried out for a relaxed CoTc2NiSe6 crystal.

Cell: 6.1415 8.2086 8.2086 Å, 82.58 83.07 83.07°
Fractional positions:
Ni1 0.2500 0.2509 0.7491
Ni2 0.7500 0.7491 0.2509
Se1 0.6140 0.1293 0.6490
Se2 0.3734 0.5284 0.7248
Se3 0.8826 0.0250 0.1815
Se4 0.6266 0.4716 0.2752
Se5 0.3826 0.1815 0.0250
Se6 0.6174 0.8185 0.9750
Se7 0.1174 0.9750 0.8185
Se8 0.1140 0.6490 0.1293
Se9 0.1266 0.2752 0.4716
Se10 0.8860 0.3510 0.8707
Se11 0.8734 0.7248 0.5284
Se12 0.3860 0.8707 0.3510
Tc1 0.7063 0.6111 0.7822
Tc2 0.7937 0.2178 0.3889
Tc3 0.2063 0.7822 0.6111
Tc4 0.2937 0.3889 0.2178
Co1 0.2500 0.9078 0.0922
Co2 0.7500 0.0922 0.9078

Calculated values
* M_tot: 0.00 μB per formula unit
* formation energy (no corrections): -0.109 eV/atom



5.
A plane-wave DFT calculation with PBE was carried out for a relaxed Th8Co3NiSe4 crystal.

Cell: 8.0028 8.6374 8.0856 Å, 117.95 119.66 90.00°
Fractional positions:
Co1 0.5000 0.5000 0.0000
Co2 0.0000 0.5000 0.5000
Co3 0.5000 0.5000 0.5000
Th1 0.2619 0.2889 0.5237
Th2 0.2670 0.2887 0.0263
Th3 0.2407 0.7113 0.9737
Th4 0.7381 0.7111 0.4763
Th5 0.7593 0.2887 0.0263
Th6 0.7330 0.7113 0.9737
Th7 0.2404 0.7111 0.4807
Th8 0.7596 0.2889 0.5193
Se1 0.5000 0.0000 0.0000
Se2 0.0000 0.0000 0.5000
Se3 0.0000 0.0000 0.0000
Se4 0.5000 0.0000 0.5000
Ni1 0.0000 0.5000 0.0000

Calculated values
* M_tot: 0.00 μB per formula unit
* formation energy (no corrections): -0.937 eV/atom



6.
A plane-wave DFT calculation with PBE was carried out for a relaxed Tl2Co3NiSe4 crystal.

Cell: 7.4549 7.4549 5.4328 Å, 90.00 90.00 137.21°
Fractional positions:
Se1 0.1556 0.3529 0.2540
Se2 0.6471 0.8444 0.7460
Se3 0.8444 0.6471 0.2540
Se4 0.3529 0.1556 0.7460
Tl1 0.5000 0.0000 0.2509
Tl2 0.0000 0.5000 0.7491
Co1 0.5000 0.5000 0.0000
Co2 0.0000 0.0000 0.5000
Co3 0.5000 0.5000 0.5000
Ni1 0.0000 0.0000 0.0000

Calculated values
* M_tot: 4.28 μB per formula unit
* formation energy (no corrections): -0.235 eV/atom



7.
A plane-wave DFT calculation with PBE was carried out for a relaxed Tl2Co3NiSe4 crystal.

Cell: 3.8478 3.8478 13.8557 Å, 90.00 90.00 90.00°
Fractional positions:
Se1 0.0000 0.5000 0.8977
Se2 0.5000 0.0000 0.4045
Se3 0.5000 0.0000 0.1023
Se4 0.0000 0.5000 0.5955
Co1 0.0000 0.0000 0.5000
Co2 0.0000 0.0000 0.0000
Co3 0.5000 0.5000 0.5000
Tl1 0.0000 0.5000 0.2498
Tl2 0.5000 0.0000 0.7502
Ni1 0.5000 0.5000 0.0000

Calculated values
* M_tot: 4.36 μB per formula unit
* formation energy (no corrections): -0.236 eV/atom



8.
A plane-wave DFT calculation with PBE was carried out for a relaxed CoSiNi14 crystal.

Cell: 4.9711 4.9711 8.1218 Å, 90.00 90.00 120.11°
Fractional positions:
Co1 0.5400 0.4600 0.5000
Ni1 0.3738 0.1250 0.7467
Ni2 0.7080 0.2920 0.0000
Ni3 0.8761 0.1239 0.2520
Ni4 0.8750 0.6262 0.7467
Ni5 0.8761 0.1239 0.7480
Ni6 0.3757 0.6243 0.7516
Ni7 0.8750 0.6262 0.2533
Ni8 0.5408 0.9559 0.5000
Ni9 0.2074 0.2903 0.0000
Ni10 0.3757 0.6243 0.2484
Ni11 0.2077 0.7923 0.0000
Ni12 0.0441 0.4592 0.5000
Ni13 0.3738 0.1250 0.2533
Ni14 0.7097 0.7926 0.0000
Si1 0.0411 0.9589 0.5000

Calculated values
* M_tot: 8.71 μB per formula unit
* formation energy (no corrections): -0.084 eV/atom



9.
A plane-wave DFT calculation with PBE was carried out for a relaxed Co6SiNi crystal.

Cell: 6.0879 6.0879 9.9417 Å, 90.00 90.00 109.52°
Fractional positions:
Co1 0.8751 0.6260 0.6247
Co2 0.3762 0.1255 0.1249
Co3 0.1255 0.3761 0.3751
Co4 0.5000 0.5000 0.2500
Co5 0.3740 0.1249 0.8753
Co6 0.6238 0.8745 0.1249
Co7 0.0000 0.0000 0.2500
Co8 0.7504 0.2496 0.4986
Co9 0.2496 0.7504 0.0014
Co10 0.1255 0.3762 0.1249
Co11 0.8745 0.6239 0.3751
Co12 0.3740 0.1249 0.6247
Co13 0.8745 0.6238 0.1249
Co14 0.1249 0.3740 0.6247
Co15 0.6260 0.8751 0.6247
Co16 0.0000 0.0000 0.7500
Co17 0.6239 0.8745 0.3751
Co18 0.5000 0.5000 0.7500
Co19 0.7504 0.2496 0.0014
Co20 0.6260 0.8751 0.8753
Co21 0.1249 0.3740 0.8753
Co22 0.3761 0.1255 0.3751
Co23 0.8751 0.6260 0.8753
Co24 0.2496 0.7504 0.4986
Ni1 0.0000 0.0000 0.9990
Ni2 0.0000 0.0000 0.5010
Ni3 0.7527 0.2473 0.2500
Ni4 0.2473 0.7527 0.2500
Si1 0.2463 0.7537 0.7500
Si2 0.5000 0.5000 0.5030
Si3 0.7537 0.2463 0.7500
Si4 0.5000 0.5000 0.9970

Calculated values
* M_tot: 8.99 μB per formula unit
* formation energy (no corrections): -0.111 eV/atom



10.
A plane-wave DFT calculation with PBE was carried out for a relaxed Co4Si2Ni crystal.

Cell: 3.0593 3.0592 9.0381 Å, 99.74 99.74 90.00°
Fractional positions:
Co1 0.1383 0.1383 0.2766
Co2 0.7500 0.2500 0.5000
Co3 0.2500 0.7500 0.5000
Co4 0.8617 0.8617 0.7234
Si1 0.4203 0.4203 0.8405
Si2 0.5797 0.5797 0.1595
Ni1 0.0000 0.0000 0.0000

Calculated values
* M_tot: 4.13 μB per formula unit
* formation energy (no corrections): 0.071 eV/atom



11.
A plane-wave DFT calculation with PBE was carried out for a relaxed Co23SiNi6 crystal.

Cell: 7.8705 7.8705 7.8705 Å, 60.00 60.00 60.00°
Fractional positions:
Co1 0.0000 0.5000 0.5000
Co2 0.1193 0.1193 0.1193
Co3 0.8807 0.3578 0.8807
Co4 0.3321 0.3321 0.0038
Co5 0.6422 0.1193 0.1193
Co6 0.6679 0.9962 0.6679
Co7 0.5000 0.5000 0.0000
Co8 0.9962 0.6679 0.6679
Co9 0.5000 0.0000 0.0000
Co10 0.0038 0.3321 0.3321
Co11 0.1193 0.6422 0.1193
Co12 0.6679 0.6679 0.9962
Co13 0.8807 0.8807 0.3578
Co14 0.1193 0.1193 0.6422
Co15 0.3578 0.8807 0.8807
Co16 0.3321 0.3321 0.3321
Co17 0.0000 0.0000 0.0000
Co18 0.6679 0.6679 0.6679
Co19 0.3321 0.0038 0.3321
Co20 0.0000 0.5000 0.0000
Co21 0.5000 0.0000 0.5000
Co22 0.8807 0.8807 0.8807
Co23 0.0000 0.0000 0.5000
Ni1 0.7153 0.7153 0.2847
Ni2 0.7153 0.2847 0.2847
Ni3 0.2847 0.7153 0.7153
Ni4 0.2847 0.2847 0.7153
Ni5 0.7153 0.2847 0.7153
Ni6 0.2847 0.7153 0.2847
Si1 0.5000 0.5000 0.5000

Calculated values
* M_tot: 41.22 μB per formula unit
* formation energy (no corrections): 0.147 eV/atom



12.
A plane-wave DFT calculation with PBE was carried out for a relaxed CoSiNi5 crystal.

Cell: 4.0042 4.0042 5.1432 Å, 90.00 90.00 90.00°
Fractional positions:
Ni1 0.5000 0.5000 0.5000
Ni2 0.0000 0.5000 0.2434
Ni3 0.5000 0.0000 0.2434
Ni4 0.0000 0.5000 0.7566
Ni5 0.5000 0.0000 0.7566
Co1 0.5000 0.5000 0.0000
Si1 0.0000 0.0000 0.5000

Calculated values
* M_tot: 2.68 μB per formula unit
* formation energy (no corrections): -0.021 eV/atom



13.
A plane-wave DFT calculation with PBE was carried out for a relaxed CoSiNi6 crystal.

Cell: 6.0884 6.0884 9.9368 Å, 90.00 90.00 109.41°
Fractional positions:
Ni1 0.1236 0.3736 0.3741
Ni2 0.6264 0.8764 0.1259
Ni3 0.3736 0.1236 0.1259
Ni4 0.1235 0.3736 0.6241
Ni5 0.3736 0.1235 0.8759
Ni6 0.3736 0.1235 0.6241
Ni7 0.0000 0.0000 0.2500
Ni8 0.1235 0.3736 0.8759
Ni9 0.5000 0.5000 0.2500
Ni10 0.0000 0.0000 0.7500
Ni11 0.8765 0.6264 0.8759
Ni12 0.2499 0.7501 0.0008
Ni13 0.2499 0.7501 0.4992
Ni14 0.6264 0.8764 0.3741
Ni15 0.6264 0.8765 0.8759
Ni16 0.7501 0.2499 0.4992
Ni17 0.8765 0.6264 0.6241
Ni18 0.1236 0.3736 0.1259
Ni19 0.5000 0.5000 0.7500
Ni20 0.8764 0.6264 0.1259
Ni21 0.3736 0.1236 0.3741
Ni22 0.7501 0.2499 0.0008
Ni23 0.6264 0.8765 0.6241
Ni24 0.8764 0.6264 0.3741
Si1 0.2529 0.7471 0.2500
Si2 0.0000 0.0000 0.5005
Si3 0.7471 0.2529 0.2500
Si4 0.0000 0.0000 0.9995
Co1 0.7480 0.2520 0.7500
Co2 0.5000 0.5000 0.5019
Co3 0.5000 0.5000 0.9981
Co4 0.2520 0.7480 0.7500

Calculated values
* ΔE to the lowest computed polymorph: 0.0000 eV per atom
* M_tot: 4.14 μB per formula unit
* formation energy (no corrections): -0.193 eV/atom



14.
A plane-wave DFT calculation with PBE was carried out for a relaxed CoSi2Ni2 crystal.

Cell: 6.6215 6.6215 2.5717 Å, 90.00 90.00 90.00°
Fractional positions:
Si1 0.3300 0.1700 0.5000
Si2 0.1700 0.6700 0.5000
Si3 0.8300 0.3300 0.5000
Si4 0.6700 0.8300 0.5000
Ni1 0.3697 0.8697 0.0000
Ni2 0.6303 0.1303 0.0000
Ni3 0.1303 0.3697 0.0000
Ni4 0.8697 0.6303 0.0000
Co1 0.5000 0.5000 0.0000
Co2 0.0000 0.0000 0.0000

Calculated values
* ΔE to the lowest computed polymorph: 0.1019 eV per atom
* M_tot: 0.45 μB per formula unit
* formation energy (no corrections): -0.272 eV/atom



15.
A plane-wave DFT calculation with PBE was carried out for a relaxed CoSi2Ni3 crystal.

Cell: 4.8560 4.8548 6.8152 Å, 110.87 110.87 90.00°
Fractional positions:
Si1 0.1098 0.3718 0.7437
Si2 0.3661 0.1281 0.2563
Si3 0.6339 0.8718 0.7437
Si4 0.8902 0.6282 0.2563
Ni1 0.9165 0.1810 0.3621
Ni2 0.5000 0.2500 0.0000
Ni3 0.5544 0.3190 0.6379
Ni4 0.0835 0.8190 0.6379
Ni5 0.4456 0.6810 0.3621
Ni6 0.5000 0.7500 0.0000
Co1 0.0000 0.7500 0.0000
Co2 0.0000 0.2500 0.0000

Calculated values
* M_tot: 0.12 μB per formula unit
* formation energy (no corrections): -0.442 eV/atom



16.
A plane-wave DFT calculation with PBE was carried out for a relaxed CoSiNi4 crystal.

Cell: 7.8305 4.0859 4.0975 Å, 90.00 89.98 90.00°
Fractional positions:
Co1 0.5000 0.0000 0.5000
Co2 0.0000 0.5000 0.5000
Ni1 0.1600 0.4964 0.9998
Ni2 0.3376 0.5010 0.4998
Ni3 0.1624 0.0010 0.5002
Ni4 0.8400 0.5036 0.0002
Ni5 0.6600 0.0036 0.9998
Ni6 0.6624 0.4990 0.5002
Ni7 0.8376 0.9990 0.4998
Ni8 0.3400 0.9964 0.0002
Si1 0.5000 0.5000 0.0000
Si2 0.0000 0.0000 0.0000

Calculated values
* ΔE to the lowest computed polymorph: 0.0000 eV per atom
* M_tot: 2.04 μB per formula unit
* formation energy (no corrections): -0.200 eV/atom



17.
A plane-wave DFT calculation with PBE was carried out for a relaxed CoSi4Ni2 crystal.

Cell: 3.5358 3.9425 7.0596 Å, 106.21 90.00 90.00°
Fractional positions:
Si1 0.5000 0.3858 0.7717
Si2 0.0000 0.0930 0.1859
Si3 0.5000 0.6142 0.2283
Si4 0.0000 0.9070 0.8141
Ni1 0.5000 0.1992 0.3984
Ni2 0.5000 0.8008 0.6016
Co1 0.0000 0.5000 0.0000

Calculated values
* M_tot: 0.00 μB per formula unit
* formation energy (no corrections): -0.313 eV/atom



18.
A plane-wave DFT calculation with PBE was carried out for a relaxed CoSiNi4 crystal.

Cell: 4.6056 4.6056 4.6056 Å, 60.00 60.00 60.00°
Fractional positions:
Ni1 0.6251 0.6251 0.1246
Ni2 0.6251 0.6251 0.6251
Ni3 0.6251 0.1246 0.6251
Ni4 0.1246 0.6251 0.6251
Co1 0.0000 0.0000 0.0000
Si1 0.2500 0.2500 0.2500

Calculated values
* ΔE to the lowest computed polymorph: 0.3407 eV per atom
* M_tot: 2.89 μB per formula unit
* formation energy (no corrections): 0.141 eV/atom



19.
A plane-wave DFT calculation with PBE was carried out for a relaxed CoSi2Ni2 crystal.

Cell: 3.4945 3.4945 5.7456 Å, 72.30 72.30 90.00°
Fractional positions:
Ni1 0.3889 0.3889 0.2221
Ni2 0.6111 0.6111 0.7779
Co1 0.0000 0.0000 0.0000
Si1 0.7500 0.2500 0.5000
Si2 0.2500 0.7500 0.5000

Calculated values
* ΔE to the lowest computed polymorph: 0.3839 eV per atom
* M_tot: 1.63 μB per formula unit
* formation energy (no corrections): 0.010 eV/atom